(1)
Below is a relaxed structure of Sr2Te2PdF2, with properties calculated at the GGA-PBE level.

Structure (POSCAR):
```
Sr2Te2PdF2
1.0
4.391 0.000 0.000
0.000 4.391 0.000
0.000 0.000 8.431
Sr Te Pd F
2 2 1 2
Direct
0.000 0.500 0.154
0.500 0.000 0.846
0.000 0.500 0.663
0.500 0.000 0.337
0.500 0.500 0.500
0.000 0.000 0.000
0.500 0.500 0.000
```

space-group type = P-4m2, No. 115
calculated total energy = -4.813 eV per atom


(2)
Below is a relaxed structure of Ta4AsC2S, with properties calculated at the GGA-PBE level.

Structure (POSCAR):
```
Ta4AsC2S
1.0
3.322 0.000 0.000
-1.661 2.877 0.000
0.000 0.000 11.760
Ta As C S
4 1 2 1
Direct
0.000 0.000 0.152
0.000 0.000 0.848
0.667 0.333 0.340
0.667 0.333 0.660
0.000 0.000 0.500
0.333 0.667 0.246
0.333 0.667 0.754
0.667 0.333 0.000
```

space-group type = P-6m2, No. 187
calculated total energy = -9.964 eV per atom


(3)
Below is a relaxed structure of TbCoGe, with properties calculated at the GGA-PBE level.

Structure (POSCAR):
```
TbCoGe
1.0
6.960 0.000 0.000
0.000 4.261 0.000
0.000 0.000 7.142
Tb Co Ge
4 4 4
Direct
0.014 0.250 0.195
0.486 0.750 0.695
0.514 0.250 0.305
0.986 0.750 0.805
0.153 0.750 0.433
0.347 0.250 0.933
0.653 0.750 0.067
0.847 0.250 0.567
0.200 0.250 0.602
0.300 0.750 0.102
0.700 0.250 0.898
0.800 0.750 0.398
```

space-group type = Pnma, No. 62
calculated total energy = -6.106 eV per atom


(4)
Below is a relaxed structure of KNa2Au7, with properties calculated at the GGA-PBE level.

Structure (POSCAR):
```
KNa2Au7
1.0
2.699 -6.651 0.000
2.699 6.651 0.000
0.000 0.000 7.426
K Na Au
1 2 7
Direct
0.000 0.000 0.000
0.154 0.846 0.500
0.846 0.154 0.500
0.000 0.500 0.000
0.391 0.609 0.203
0.391 0.609 0.797
0.500 0.000 0.000
0.500 0.500 0.500
0.609 0.391 0.203
0.609 0.391 0.797
```

space-group type = Cmmm, No. 65
calculated total energy = -2.862 eV per atom


(5)
Below is a relaxed structure of Tm2B4N, with properties calculated at the GGA-PBE level.

Structure (POSCAR):
```
Tm2B4N
1.0
-1.611 3.203 3.658
1.611 -3.203 3.658
1.611 3.203 -3.658
Tm B N
2 4 1
Direct
0.234 0.234 0.000
0.766 0.766 0.000
0.230 0.500 0.730
0.360 0.000 0.360
0.640 0.000 0.640
0.770 0.500 0.270
0.000 0.500 0.500
```

space-group type = Immm, No. 71
calculated total energy = -7.138 eV per atom


(6)
Below is a relaxed structure of TePtPbO, with properties calculated at the GGA-PBE level.

Structure (POSCAR):
```
TePtPbO
1.0
4.665 0.000 0.000
0.000 9.123 0.000
0.000 0.000 9.660
Te Pt Pb O
4 4 4 4
Direct
0.245 0.142 0.340
0.255 0.858 0.840
0.745 0.358 0.660
0.755 0.642 0.160
0.244 0.335 0.542
0.256 0.665 0.042
0.744 0.165 0.458
0.756 0.835 0.958
0.244 0.646 0.592
0.256 0.354 0.092
0.744 0.854 0.408
0.756 0.146 0.908
0.245 0.809 0.426
0.255 0.191 0.926
0.745 0.691 0.574
0.755 0.309 0.074
```

energy relative to the lowest polymorph listed for this composition = 23.6 kJ/mol of atoms
space-group type = P2_12_12_1, No. 19


(7)
Below is a relaxed structure of GaCuNiPd, with properties calculated at the GGA-PBE level.

Structure (POSCAR):
```
GaCuNiPd
1.0
0.000 2.976 2.976
2.976 0.000 2.976
2.976 2.976 0.000
Ga Cu Ni Pd
1 1 1 1
Direct
0.000 0.000 0.000
0.250 0.250 0.250
0.500 0.500 0.500
0.750 0.750 0.750
```

energy relative to the lowest polymorph listed for this composition = 0.0 kJ/mol of atoms
space-group type = F-43m, No. 216


(8)
Below is a relaxed structure of Y2CoHgC, with properties calculated at the GGA-PBE level.

Structure (POSCAR):
```
Y2CoHgC
1.0
5.079 0.000 0.000
0.000 5.079 0.000
0.000 0.000 3.685
Y Co Hg C
2 1 1 1
Direct
0.000 0.500 0.000
0.500 0.000 0.000
0.000 0.000 0.500
0.500 0.500 0.500
0.000 0.000 0.000
```

space-group type = P4/mmm, No. 123
calculated total energy = -6.323 eV per atom


(9)
Below is a relaxed structure of LiScAu2, with properties calculated at the GGA-PBE level.

Structure (POSCAR):
```
LiScAu2
1.0
3.325 0.000 0.000
0.000 3.325 0.000
0.000 0.000 6.371
Li Sc Au
1 1 2
Direct
0.000 0.000 0.000
0.000 0.000 0.500
0.500 0.500 0.236
0.500 0.500 0.764
```

energy relative to the lowest polymorph listed for this composition = 0.6 kJ/mol of atoms
space-group type = P4/mmm, No. 123


(10)
Below is a relaxed structure of TbDy2Cu4Si2Sn2, with properties calculated at the GGA-PBE level.

Structure (POSCAR):
```
TbDy2Cu4Si2Sn2
1.0
-2.119 3.436 7.110
2.119 -3.436 7.110
2.119 3.436 -7.110
Tb Dy Cu Si Sn
1 2 4 2 2
Direct
0.000 0.000 0.000
0.365 0.865 0.500
0.635 0.135 0.500
0.008 0.318 0.689
0.371 0.682 0.689
0.629 0.318 0.311
0.992 0.682 0.311
0.216 0.216 0.000
0.784 0.784 0.000
0.298 0.500 0.798
0.702 0.500 0.202
```

energy relative to the lowest polymorph listed for this composition = 7.2 kJ/mol of atoms
space-group type = Immm, No. 71


(11)
Below is a relaxed structure of Sm3Mg3GaIr2, with properties calculated at the GGA-PBE level.

Structure (POSCAR):
```
Sm3Mg3GaIr2
1.0
7.397 0.000 0.000
-3.698 6.406 0.000
0.000 0.000 4.186
Sm Mg Ga Ir
3 3 1 2
Direct
0.000 0.580 0.000
0.420 0.420 0.000
0.580 0.000 0.000
0.000 0.249 0.500
0.249 0.000 0.500
0.751 0.751 0.500
0.000 0.000 0.000
0.333 0.667 0.500
0.667 0.333 0.500
```

space-group type = P-62m, No. 189
calculated total energy = -4.936 eV per atom


(12)
Below is a relaxed structure of TaZnInNi, with properties calculated at the GGA-PBE level.

Structure (POSCAR):
```
TaZnInNi
1.0
0.000 3.192 3.192
3.192 0.000 3.192
3.192 3.192 0.000
Ta Zn In Ni
1 1 1 1
Direct
0.000 0.000 0.000
0.750 0.750 0.750
0.250 0.250 0.250
0.500 0.500 0.500
```

space-group type = F-43m, No. 216
calculated total energy = -5.033 eV per atom